A plane-wave DFT calculation with GGA-PBE was carried out for a relaxed structure of TiGaAgF2.

Structure (CIF):
```
data_TiGaAgF2
_chemical_formula_sum 'Ti1 Ga1 Ag1 F2'
_cell_length_a 3.8847
_cell_length_b 3.8847
_cell_length_c 5.8108
_cell_angle_alpha 90.00
_cell_angle_beta 90.00
_cell_angle_gamma 90.00
_space_group_name_H-M_alt 'P 4/m m m'
_space_group_IT_number 123
_space_group_name_Hall '-P 4 2'
loop_
_atom_site_label
_atom_site_fract_x
_atom_site_fract_y
_atom_site_fract_z
_atom_site_occupancy
Ti1 0.0000 0.0000 0.0000 1
Ga1 0.0000 0.0000 0.5000 1
Ag1 0.5000 0.5000 0.5000 1
F1 0.0000 0.5000 0.0000 1
```

***

A plane-wave DFT calculation with GGA-PBE was carried out for a relaxed structure of TlGaAgF6.

Structure (CIF):
```
data_TlGaAgF6
_chemical_formula_sum 'Tl1 Ga1 Ag1 F6'
_cell_length_a 5.7532
_cell_length_b 5.7532
_cell_length_c 5.0853
_cell_angle_alpha 90.00
_cell_angle_beta 90.00
_cell_angle_gamma 120.00
_space_group_name_H-M_alt 'P 3 1 2'
_space_group_IT_number 149
loop_
_space_group_symop_operation_xyz
'x,y,z'
'-y,x-y,z'
'-x+y,-x,z'
'-y,-x,-z'
'-x+y,y,-z'
'x,x-y,-z'
loop_
_atom_site_label
_atom_site_fract_x
_atom_site_fract_y
_atom_site_fract_z
_atom_site_occupancy
Tl1 0.0000 0.0000 0.0000 1
Ga1 0.6667 0.3333 0.5000 1
Ag1 0.3333 0.6667 0.5000 1
F1 0.3864 0.0562 0.7147 1
```

***

A plane-wave DFT calculation with GGA-PBE was carried out for a relaxed structure of TlGaAg2F8.

Structure (CIF):
```
data_TlGaAg2F8
_chemical_formula_sum 'Tl1 Ga1 Ag2 F8'
_cell_length_a 5.2368
_cell_length_b 6.7305
_cell_length_c 5.5106
_cell_angle_alpha 90.00
_cell_angle_beta 91.96
_cell_angle_gamma 90.00
_space_group_name_H-M_alt 'P 1 2/m 1'
_space_group_IT_number 10
loop_
_space_group_symop_operation_xyz
'x,y,z'
'-x,-y,-z'
'-x,y,-z'
'x,-y,z'
loop_
_atom_site_label
_atom_site_fract_x
_atom_site_fract_y
_atom_site_fract_z
_atom_site_occupancy
Tl1 0.0000 0.0000 0.0000 1
Ga1 0.0000 0.5000 0.0000 1
Ag1 0.5000 0.2700 0.5000 1
F1 0.1754 0.2808 0.8331 1
F2 0.2543 0.5000 0.2463 1
F3 0.2891 0.0000 0.2808 1
```

***

no.,formation energy (no corrections) (meV/atom),D(E_F) (states/eV/cell)
1,-1516,3.53
2,-1957,5.08
3,-1811,0.94